# 1
# DyTmPd (PBE-GGA, relaxed)
# calculated volume = 319.22 Å³ per cell
# energy above the lowest structure with this stoichiometry = 14.5 kJ/mol of atoms
# electronic total energy = -5.255 eV/atom
# formation enthalpy at 0 K = -48.6 kJ/mol of atoms
data_DyTmPd
_symmetry_space_group_name_H-M 'F -4 3 m'
_symmetry_Int_Tables_number 216
_symmetry_space_group_name_Hall 'F -4 2 3'
_cell_length_a 6.834
_cell_length_b 6.834
_cell_length_c 6.834
_cell_angle_alpha 90.00
_cell_angle_beta 90.00
_cell_angle_gamma 90.00
loop_
_atom_site_label
_atom_site_type_symbol
_atom_site_fract_x
_atom_site_fract_y
_atom_site_fract_z
Dy1 Dy 0.000 0.000 0.000
Tm1 Tm 0.000 0.000 0.500
Pd1 Pd 0.250 0.250 0.250


# 2
# LaBeHg (PBE-GGA, relaxed)
# calculated volume = 351.56 Å³ per cell
# energy above the lowest structure with this stoichiometry = 46.8 kJ/mol of atoms
# electronic total energy = -2.499 eV/atom
data_LaBeHg
_symmetry_space_group_name_H-M 'F -4 3 m'
_symmetry_Int_Tables_number 216
_symmetry_space_group_name_Hall 'F -4 2 3'
_cell_length_a 7.058
_cell_length_b 7.058
_cell_length_c 7.058
_cell_angle_alpha 90.00
_cell_angle_beta 90.00
_cell_angle_gamma 90.00
loop_
_atom_site_label
_atom_site_type_symbol
_atom_site_fract_x
_atom_site_fract_y
_atom_site_fract_z
La1 La 0.000 0.000 0.000
Be1 Be 0.250 0.250 0.750
Hg1 Hg 0.250 0.250 0.250


# 3
# LiYCuGe (PBE-GGA, relaxed)
# calculated volume = 264.89 Å³ per cell
# energy above the lowest structure with this stoichiometry = 0.0 kJ/mol of atoms
# electronic total energy = -4.523 eV/atom
data_LiYCuGe
_symmetry_space_group_name_H-M 'F -4 3 m'
_symmetry_Int_Tables_number 216
_symmetry_space_group_name_Hall 'F -4 2 3'
_cell_length_a 6.422
_cell_length_b 6.422
_cell_length_c 6.422
_cell_angle_alpha 90.00
_cell_angle_beta 90.00
_cell_angle_gamma 90.00
loop_
_atom_site_label
_atom_site_type_symbol
_atom_site_fract_x
_atom_site_fract_y
_atom_site_fract_z
Li1 Li 0.000 0.000 0.000
Y1 Y 0.250 0.250 0.750
Cu1 Cu 0.000 0.000 0.500
Ge1 Ge 0.250 0.250 0.250


# 4
# AsOsPtO (PBE-GGA, relaxed)
# calculated volume = 106.83 Å³ per cell
# energy above the lowest structure with this stoichiometry = 47.9 kJ/mol of atoms
# electronic total energy = -6.427 eV/atom
data_AsOsPtO
_symmetry_space_group_name_H-M 'P 4/n m m'
_symmetry_Int_Tables_number 129
_cell_length_a 3.988
_cell_length_b 3.988
_cell_length_c 6.715
_cell_angle_alpha 90.00
_cell_angle_beta 90.00
_cell_angle_gamma 90.00
loop_
_symmetry_equiv_pos_as_xyz
'x,y,z'
'-x,-y,-z'
'-y+1/2,x,z'
'y+1/2,-x,-z'
'-x+1/2,-y+1/2,z'
'x+1/2,y+1/2,-z'
'y,-x+1/2,z'
'-y,x+1/2,-z'
'x+1/2,-y,-z'
'-x+1/2,y,z'
'-y,-x,-z'
'y,x,z'
'-x,y+1/2,-z'
'x,-y+1/2,z'
'y+1/2,x+1/2,-z'
'-y+1/2,-x+1/2,z'
loop_
_atom_site_label
_atom_site_type_symbol
_atom_site_fract_x
_atom_site_fract_y
_atom_site_fract_z
As1 As 0.250 0.250 0.241
Os1 Os 0.250 0.250 0.662
Pt1 Pt 0.250 0.750 0.000
O1 O 0.250 0.750 0.500


# 5
# BaLaZnTe3 (PBE-GGA, relaxed)
# calculated volume = 847.01 Å³ per cell
# electronic total energy = -4.127 eV/atom
data_BaLaZnTe3
_symmetry_space_group_name_H-M 'C m c m'
_symmetry_Int_Tables_number 63
_symmetry_space_group_name_Hall '-C 2c 2'
_cell_length_a 4.780
_cell_length_b 14.780
_cell_length_c 11.990
_cell_angle_alpha 90.00
_cell_angle_beta 90.00
_cell_angle_gamma 90.00
loop_
_atom_site_label
_atom_site_type_symbol
_atom_site_fract_x
_atom_site_fract_y
_atom_site_fract_z
Ba1 Ba 0.000 0.248 0.250
La1 La 0.000 0.000 0.000
Zn1 Zn 0.000 0.480 0.750
Te1 Te 0.000 0.074 0.750
Te2 Te 0.000 0.360 0.573


# 6
# BaNaAsPt (PBE-GGA, relaxed)
# calculated volume = 372.06 Å³ per cell
# energy above the lowest structure with this stoichiometry = 0.0 kJ/mol of atoms
# electronic total energy = -3.853 eV/atom
data_BaNaAsPt
_symmetry_space_group_name_H-M 'F -4 3 m'
_symmetry_Int_Tables_number 216
_symmetry_space_group_name_Hall 'F -4 2 3'
_cell_length_a 7.192
_cell_length_b 7.192
_cell_length_c 7.192
_cell_angle_alpha 90.00
_cell_angle_beta 90.00
_cell_angle_gamma 90.00
loop_
_atom_site_label
_atom_site_type_symbol
_atom_site_fract_x
_atom_site_fract_y
_atom_site_fract_z
Ba1 Ba 0.000 0.000 0.000
Na1 Na 0.250 0.250 0.250
As1 As 0.000 0.000 0.500
Pt1 Pt 0.250 0.250 0.750


# 7
# Tb3BiC (PBE-GGA, relaxed)
# calculated volume = 121.05 Å³ per cell
# electronic total energy = -5.967 eV/atom
data_Tb3BiC
_symmetry_space_group_name_H-M 'P m -3 m'
_symmetry_Int_Tables_number 221
_symmetry_space_group_name_Hall '-P 4 2 3'
_cell_length_a 4.947
_cell_length_b 4.947
_cell_length_c 4.947
_cell_angle_alpha 90.00
_cell_angle_beta 90.00
_cell_angle_gamma 90.00
loop_
_atom_site_label
_atom_site_type_symbol
_atom_site_fract_x
_atom_site_fract_y
_atom_site_fract_z
Tb1 Tb 0.000 0.000 0.500
Bi1 Bi 0.500 0.500 0.500
C1 C 0.000 0.000 0.000


# 8
# ErCo2 (PBE-GGA, relaxed)
# calculated volume = 107.07 Å³ per cell
# electronic total energy = -4.888 eV/atom
# formation enthalpy at 0 K = 132.2 kJ/mol of atoms
data_ErCo2
_symmetry_space_group_name_H-M 'P 42/m n m'
_symmetry_Int_Tables_number 136
_symmetry_space_group_name_Hall '-P 4n 2n'
_cell_length_a 5.032
_cell_length_b 5.032
_cell_length_c 4.229
_cell_angle_alpha 90.00
_cell_angle_beta 90.00
_cell_angle_gamma 90.00
loop_
_atom_site_label
_atom_site_type_symbol
_atom_site_fract_x
_atom_site_fract_y
_atom_site_fract_z
Er1 Er 0.000 0.000 0.000
Co1 Co 0.168 0.168 0.500


Among the records above, which one has the lowest electronic total energy? AsOsPtO


Among the records above, which one has the highest electronic total energy? LaBeHg


Look up the electronic total energy of the second one. -2.499 eV/atom


Please write out number 6 again, unchanged.
# BaNaAsPt (PBE-GGA, relaxed)
# calculated volume = 372.06 Å³ per cell
# energy above the lowest structure with this stoichiometry = 0.0 kJ/mol of atoms
# electronic total energy = -3.853 eV/atom
data_BaNaAsPt
_symmetry_space_group_name_H-M 'F -4 3 m'
_symmetry_Int_Tables_number 216
_symmetry_space_group_name_Hall 'F -4 2 3'
_cell_length_a 7.192
_cell_length_b 7.192
_cell_length_c 7.192
_cell_angle_alpha 90.00
_cell_angle_beta 90.00
_cell_angle_gamma 90.00
loop_
_atom_site_label
_atom_site_type_symbol
_atom_site_fract_x
_atom_site_fract_y
_atom_site_fract_z
Ba1 Ba 0.000 0.000 0.000
Na1 Na 0.250 0.250 0.250
As1 As 0.000 0.000 0.500
Pt1 Pt 0.250 0.250 0.750